# Cs2ErGeS4, optimized geometry, DFT PBE
data_Cs2ErGeS4
_chemical_formula_sum 'Cs4 Er2 Ge2 S8'
_cell_length_a 6.5197
_cell_length_b 8.0355
_cell_length_c 13.2678
_cell_angle_alpha 84.28
_cell_angle_beta 75.78
_cell_angle_gamma 66.07
_symmetry_space_group_name_H-M 'P 1'
_symmetry_Int_Tables_number 1
_symmetry_space_group_name_Hall 'P 1'
loop_
_atom_site_label
_atom_site_fract_x
_atom_site_fract_y
_atom_site_fract_z
_atom_site_occupancy
Ge1 0.5000 0.0000 0.0000 1
Ge2 0.2500 0.5000 0.5000 1
Cs1 0.9296 0.5000 0.1408 1
Er1 0.0000 0.0000 0.0000 1
S1 0.3117 0.8130 0.0985 1
S2 0.4383 0.6870 0.4015 1
S3 0.8753 0.8130 0.9015 1
S4 0.2232 0.1870 0.9015 1
S5 0.1603 0.3130 0.4015 1
S6 0.5897 0.1870 0.0985 1
S7 0.5268 0.3130 0.5985 1
S8 0.8747 0.6870 0.5985 1
Er2 0.7500 0.5000 0.5000 1
Cs2 0.5704 0.5000 0.8592 1
Cs3 0.8204 0.0000 0.3592 1
Cs4 0.1796 0.0000 0.6408 1
# Density of states at the Fermi level = 8.51 states/eV per cell
# Energy relative to the elements, uncorrected = -1.113 eV per atom